Compound: TiCr2O5
Source: the Alexandria database
Functional: PBE+U
Structure: relaxed

```
TiCr2O5
1.0
5.023 -2.540 0.000
5.023 2.540 0.000
-2.700 0.000 6.704
Ti Cr O
2 4 10
Direct
0.000 0.000 0.000
0.000 0.000 0.500
0.368 0.382 0.786
0.382 0.368 0.286
0.618 0.632 0.714
0.632 0.618 0.214
0.039 0.332 0.151
0.194 0.806 0.250
0.254 0.584 0.555
0.332 0.039 0.651
0.416 0.746 0.945
0.584 0.254 0.055
0.668 0.961 0.349
0.746 0.416 0.445
0.806 0.194 0.750
0.961 0.668 0.849
```

SG = C2/c, No. 15
spin magnetization = 0.750 μB/atom
DFT total energy = -8.269 eV per atom